Compound: LaSe
Source: Alexandria via LeMat-Bulk
Functional: PBE
Structure: relaxed

ρ ... 5.96 Mg/m³
Total energy ... -23.0 eV for the cell shown

Lattice parameters (Å, degrees): 7.431 7.431 7.431 147.00 146.96 47.39
Element x y z (fractional)
Se: 0.250 0.750 0.500
La: 0.000 0.000 0.000
Se: 0.500 0.500 0.000
La: 0.750 0.250 0.500

=====

Compound: LaSe
Source: Alexandria via LeMat-Bulk
Functional: PBE
Structure: relaxed

ρ ... 5.39 Mg/m³
Total energy ... -60.8 eV for the cell shown

Lattice parameters (Å, degrees): 4.925 4.925 19.163 90.00 90.00 120.00
Site moments in Bohr magnetons follow the coordinates.
Element x y z (fractional)
La: 0.000 0.000 0.078  -0.07
Se: 0.000 0.000 0.335  0.00
La: 0.667 0.333 0.589  -0.06
Se: 0.333 0.667 0.670  0.00
Se: 0.000 0.000 0.665  0.00
La: 0.000 0.000 0.922  -0.07
Se: 0.667 0.333 0.330  0.00
Se: 0.667 0.333 0.003  0.00
Se: 0.333 0.667 0.997  0.00
La: 0.333 0.667 0.255  -0.07
La: 0.333 0.667 0.411  -0.06
La: 0.667 0.333 0.745  -0.07

=====

Compound: La3Se4
Source: Alexandria via LeMat-Bulk
Functional: PBE
Structure: relaxed

ρ ... 6.48 Mg/m³
Total energy ... -85.8 eV for the cell shown

Lattice parameters (Å, degrees): 7.873 7.873 7.873 109.47 109.47 109.47
Element x y z (fractional)
Se: 0.151 0.500 0.500
Se: 0.000 0.151 0.000
Se: 0.651 0.500 0.500
La: 0.625 0.750 0.875
La: 0.250 0.125 0.375
Se: 0.349 0.349 0.849
La: 0.125 0.875 0.750
Se: 0.849 0.849 0.349
La: 0.375 0.625 0.250
La: 0.875 0.250 0.625
La: 0.750 0.375 0.125
Se: 0.500 0.000 0.151
Se: 0.500 0.000 0.651
Se: 0.000 0.651 0.000

=====

Compound: La4Se
Source: Alexandria via LeMat-Bulk
Functional: PBE
Structure: relaxed

ρ ... 5.45 Mg/m³
Total energy ... -26.1 eV for the cell shown
Energy above the lowest structure with this stoichiometry ... 0 kJ/mol of formula units

Lattice parameters (Å, degrees): 5.782 5.782 5.782 90.00 90.00 90.00
Element x y z (fractional)
Se: 0.500 0.500 0.500
La: 0.500 0.000 0.500
La: 0.500 0.500 0.000
La: 0.000 0.000 0.000
La: 0.000 0.500 0.500

=====

Compound: LaSe
Source: Alexandria via LeMat-Bulk
Functional: PBE
Structure: relaxed

ρ ... 4.09 Mg/m³
Total energy ... -21.8 eV for the cell shown

Lattice parameters (Å, degrees): 10.078 10.078 10.078 26.29 26.29 26.29
Site moments in Bohr magnetons follow the coordinates.
Element x y z (fractional)
La: 0.770 0.770 0.770  0.22
Se: 0.476 0.476 0.476  0.00
Se: 0.274 0.274 0.274  0.00
La: 0.980 0.980 0.980  0.22

=====

Compound: LaSe
Source: Alexandria via LeMat-Bulk
Functional: PBE
Structure: relaxed

ρ ... 6.26 Mg/m³
Total energy ... -12.1 eV for the cell shown

Lattice parameters (Å, degrees): 4.102 4.102 3.967 90.00 90.00 120.00
Site moments in Bohr magnetons follow the coordinates.
Element x y z (fractional)
Se: 0.667 0.333 0.500  -0.01
La: 0.000 0.000 0.000  0.17